# 1
This record from Alexandria describes a relaxed structure of BeRe2Ni. The functional is PBE.

Cell: 5.246 4.691 2.587 Å, 83.95 72.28 118.37°
Element x y z (fractional)
Re: 0.000 0.000 0.000
Re: 0.500 0.000 0.500
Be: 0.000 0.500 0.500
Ni: 0.500 0.500 0.000

ΔE_f: 138.3 meV/atom
E: -8.463 eV/atom
crystal system: monoclinic

---

# 2
This record from Alexandria describes a relaxed structure of NbH3Ru. The functional is PBE.

Cell: 3.461 3.461 3.461 Å, 90.00 90.00 90.00°
Element x y z (fractional)
Ru: 0.000 0.000 0.000
Nb: 0.500 0.500 0.500
H: 0.000 0.500 0.000
H: 0.000 0.000 0.500
H: 0.500 0.000 0.000

E: -5.787 eV/atom
crystal system: cubic

---

- Which formula does entry 2 have?
  NbH3Ru

---

- Which value of E does entry 1 give?
  -8.463 eV/atom

---

- Which value of E does entry 2 give?
  -5.787 eV/atom